Material: TlWIO6
Method: DFT, GGA+U
State: optimized geometry

a b c (Å): 5.780 5.784 6.069
angles (deg): 90.45 89.60 54.83
Positions (direct):
Tl 0.993 0.992 0.000
O 0.979 0.610 0.677
O 0.459 0.603 0.292
O 0.609 0.979 0.323
O 0.604 0.459 0.709
O 0.018 0.364 0.324
O 0.363 0.018 0.675
W 0.654 0.654 0.500
I 0.321 0.321 0.500

- density of states at the Fermi level (states/eV/cell) = 0.0
- calculated total energy (eV/atom) = -5.64